1.
VASP calculation (PBE) on an optimized crystal structure of Ba4FeBr.

Structure (POSCAR):
```
Ba4FeBr
1.0
7.1990 -0.1574 -1.7252
3.7832 -6.3473 0.4757
2.2569 -3.4353 -6.1589
Ba Fe Br
4 1 1
Cartesian
4.9572 -3.7219 -2.7740 Ba
6.0907 -5.4473 -5.8674 Ba
8.5730 -3.8009 -3.6405 Ba
6.8574 -6.9099 -2.5350 Ba
0.0000 0.0000 0.0000 Fe
9.9294 -7.4550 -5.5564 Br
```

Values from the calculation:
- Energy: -14.47 eV for the cell shown
- Formation energy from raw total energies: 0.559 eV/atom

---

2.
VASP calculation (PBE) on an optimized crystal structure of Ba3Fe5Br12.

Structure (POSCAR):
```
Ba3Fe5Br12
1.0
-3.1549 -14.2324 -0.8156
12.2352 1.8364 7.7529
-10.9962 7.0569 6.5165
Br Fe Ba
48 20 12
Cartesian
2.4929 3.3528 8.7170 Br
-0.8683 4.2737 13.0273 Br
-0.4316 -6.2346 1.8549 Br
1.0827 -4.4001 6.9526 Br
-4.7149 -1.1843 10.0441 Br
-10.2151 4.5269 6.9622 Br
2.1792 -11.5960 4.9697 Br
-4.9143 2.2677 8.2975 Br
-0.7721 -2.2747 9.3763 Br
1.9719 1.9308 12.5019 Br
-1.0475 -9.6128 0.4265 Br
-5.5909 -5.1543 9.7410 Br
6.5607 3.1599 9.4890 Br
5.2766 -7.8730 8.3653 Br
6.7316 -0.9750 5.6788 Br
-0.2627 5.7840 9.2894 Br
2.9985 -7.6068 5.1562 Br
9.6401 1.1476 7.7319 Br
-3.3735 2.4012 4.4520 Br
-2.9985 -0.9390 6.5012 Br
-7.1924 2.5338 5.0885 Br
0.8687 -0.7256 6.4199 Br
-1.0063 2.4345 7.8542 Br
-3.8877 -7.2699 0.9518 Br
-8.6474 -4.3641 7.7750 Br
-11.5559 -6.4867 5.7219 Br
8.2992 -9.8660 6.4916 Br
3.6750 -0.1849 3.7128 Br
-8.4765 -8.4990 3.9647 Br
-6.1621 -5.1684 4.8195 Br
-1.4842 0.8954 11.5989 Br
5.7846 -4.9355 5.4854 Br
-1.6496 -5.8356 10.8284 Br
-0.2662 0.4965 2.6253 Br
-6.4471 -1.4844 4.3966 Br
2.7991 -4.1548 3.4097 Br
4.5313 -3.8547 9.0572 Br
-2.7845 -4.6136 7.0338 Br
1.4576 -7.7403 9.0018 Br
2.6486 -1.8369 11.5503 Br
-1.6531 -11.1232 4.1644 Br
-4.4087 -8.6919 4.7368 Br
-0.9096 -7.7736 5.5995 Br
-1.1437 -3.0644 4.0775 Br
-7.7005 -0.4036 7.9684 Br
-4.5644 -3.5022 1.9034 Br
-4.0950 6.2569 8.4841 Br
4.2463 -0.1707 8.6343 Br
4.6585 2.2446 8.1564 Fe
0.6195 4.4467 7.1347 Fe
-6.5743 -7.5837 5.2974 Fe
-1.5774 -7.1162 -0.4078 Fe
0.0000 0.0000 0.0000 Fe
-3.0731 1.5411 6.7762 Fe
-7.0755 -3.5878 2.8504 Fe
-5.4981 3.5285 3.2582 Fe
-7.9008 0.1851 5.5506 Fe
4.5402 -6.1980 3.4687 Fe
-10.4584 -4.2700 6.0593 Fe
-3.3606 -6.0129 9.0193 Fe
-0.9579 -2.6696 6.7269 Fe
1.1573 -6.8802 6.6775 Fe
8.5426 -1.0691 7.3944 Fe
1.4448 0.6738 4.4345 Fe
0.5012 -3.9959 2.4469 Fe
5.9850 -5.5242 7.9032 Fe
-2.4170 -1.3432 11.0068 Fe
6.1176 0.9182 3.8764 Fe
-2.7634 3.7644 10.3436 Ba
1.4671 -4.6569 10.2449 Ba
2.0643 5.1205 11.5692 Ba
-3.0366 -5.7898 3.8722 Ba
-6.9572 4.8548 7.5382 Ba
0.8475 -9.1036 3.1102 Ba
1.1207 0.4507 9.5816 Ba
5.0414 -10.1939 5.9156 Ba
-3.3829 -0.6822 3.2089 Ba
3.7149 -2.4252 6.1688 Ba
-3.9801 -10.4596 1.8846 Ba
-5.6307 -2.9139 7.2849 Ba
```

Values from the calculation:
- Energy: -342.74 eV for the cell shown
- Formation energy from raw total energies: -0.876 eV/atom

---

3.
VASP calculation (PBE) on an optimized crystal structure of BaFe2Br.

Structure (POSCAR):
```
BaFe2Br
1.0
5.8010 0.0705 -0.0034
1.4704 5.6120 0.0034
-2.6224 -4.1379 3.1077
Br Ba Fe
1 1 2
Cartesian
0.7777 1.7950 1.5555 Br
3.6824 2.8777 0.0000 Ba
3.9643 -0.1776 1.5521 Fe
7.1317 5.5733 0.0000 Fe
```

Values from the calculation:
- Energy: -19.29 eV for the cell shown
- Formation energy from raw total energies: 0.309 eV/atom